DFT (PBE) results for a geometry-optimized K2Hg2SbAs structure.

**Calculated total energy**: -13.681 eV per cell

Lattice parameters (Å, degrees): 4.7789 4.7789 10.3200 90.00 90.00 120.00
Closest atoms and distances in Å follow each position.
Space group P-6m2 (No. 187)
Asymmetric unit:
K1 0.0000 0.0000 0.2389 [2 per cell]  6 Hg 3.70-3.86, 3 As 3.70, 3 Sb 3.86
Hg1 0.3333 0.6667 0.0000 [1 per cell]  3 As 2.76
Hg2 0.6667 0.3333 0.5000 [1 per cell]  3 Sb 2.76
Sb1 0.3333 0.6667 0.5000 [1 per cell]  3 Hg 2.76
As1 0.6667 0.3333 0.0000 [1 per cell]  3 Hg 2.76